[1]
{"formula": "TbY2Ho5", "functional": "PBE-GGA", "state": "optimized geometry", "e_above_lowest_polymorph_mev_per_atom": 14, "delta_e_f_ev_per_atom": 0.019, "space_group": "Pbam, No. 55", "volume_a3_per_atom": 31.363, "lattice": [[-4.6167, 1.1348, 1.5516], [1.2400, -3.3319, 6.1262], [4.8480, 12.0811, 5.5893]], "species": ["Tb", "Tb", "Ho", "Ho", "Ho", "Ho", "Ho", "Ho", "Ho", "Ho", "Ho", "Ho", "Y", "Y", "Y", "Y"], "fractional_positions": [[0.0000, 0.0000, 0.5000], [0.0000, 0.5000, 0.0000], [0.0000, 0.5001, 0.2503], [0.0000, 0.0000, 0.0000], [0.5000, 0.2498, 0.8748], [0.0000, 0.9999, 0.7502], [0.0000, 0.0001, 0.2498], [0.0000, 0.4999, 0.7497], [0.5000, 0.7498, 0.6252], [0.0000, 0.5000, 0.5000], [0.5000, 0.2502, 0.3748], [0.5000, 0.7502, 0.1252], [0.5000, 0.2500, 0.1252], [0.5000, 0.7500, 0.8748], [0.5000, 0.7500, 0.3749], [0.5000, 0.2500, 0.6251]]}

=====

[2]
{"formula": "TbY8Ho6", "functional": "PBE-GGA", "state": "optimized geometry", "e_above_lowest_polymorph_mev_per_atom": 0, "delta_e_f_ev_per_atom": 0.186, "space_group": "R-3, No. 148", "volume_a3_per_atom": 32.128, "lattice": [[-6.0627, 6.3294, 4.1654], [-2.5453, -1.1177, 9.2973], [1.7321, 5.0534, 6.1459]], "species": ["Ho", "Ho", "Ho", "Ho", "Ho", "Ho", "Y", "Y", "Y", "Y", "Y", "Y", "Y", "Y", "Tb"], "fractional_positions": [[0.9336, 0.7134, 0.9652], [0.7134, 0.3877, 0.9652], [0.3877, 0.9336, 0.9652], [0.2866, 0.6123, 0.0348], [0.6123, 0.0664, 0.0348], [0.0664, 0.2866, 0.0348], [0.0709, 0.6435, 0.5150], [0.3565, 0.2293, 0.4850], [0.2293, 0.9291, 0.4850], [0.4120, 0.4120, 0.7641], [0.7707, 0.0709, 0.5150], [0.6435, 0.7707, 0.5150], [0.5880, 0.5880, 0.2359], [0.9291, 0.3565, 0.4850], [0.0000, 0.0000, 0.0000]]}